[1]
Density functional theory data (GGA-PBE) for crystalline Sm2Os3 at its relaxed geometry.

**Energy relative to the elements**: -91 meV/atom
**D(E_F)**: 21.73 states/eV/cell
**Density**: 13.48 g cm⁻³

abc: 5.1217 10.3827 8.0759
angles: 90.00 90.00 90.00
Space group Cmce (No. 64)
Asymmetric unit:
Sm  0.0000  0.1545  0.0965
Os  0.0000  0.0000  0.5000
Os  0.2500  0.0953  0.7500

=====

[2]
Density functional theory data (GGA-PBE) for crystalline Sm3Os at its relaxed geometry.

**Energy relative to the elements**: -23 meV/atom
**D(E_F)**: 7.40 states/eV/cell
**Density**: 9.64 g cm⁻³

abc: 3.6689 11.1593 5.3967
angles: 90.00 90.00 90.00
Space group Imm2 (No. 44)
Asymmetric unit:
Sm  0.0000  0.0000  0.0000
Sm  0.0000  0.1962  0.5000
Os  0.0000  0.5000  0.9656

=====

density of number 1 (Sm2Os3)?
13.48 g cm⁻³